CoCuPd3, PBEsol geometry, DFT SCAN; D(E_F) = 4.967 states/eV/cell; DFT formation energy = 4.86 eV/f.u.
1.0
4.448 0.000 0.000
0.000 4.448 0.000
0.000 0.000 4.448
Co Cu Pd
1 1 3
Direct
0.000 0.000 0.000 Co
0.500 0.500 0.500 Cu
0.000 0.500 0.500 Pd
0.500 0.000 0.500 Pd
0.500 0.500 0.000 Pd

ZrMnCoTc2, PBEsol geometry, DFT SCAN; D(E_F) = 5.114 states/eV/cell; DFT formation energy = 4.86 eV/f.u.
1.0
4.279 0.000 0.000
0.000 4.279 0.000
0.000 0.000 4.622
Zr Mn Co Tc
1 1 1 2
Direct
0.000 0.000 0.000 Zr
0.000 0.000 0.500 Mn
0.500 0.500 0.000 Co
0.000 0.500 0.500 Tc
0.500 0.000 0.500 Tc

Sr2LaBi, PBEsol geometry, DFT SCAN; D(E_F) = 20.102 states/eV/cell; DFT formation energy = -0.82 eV/f.u.
1.0
9.893 0.000 0.000
0.000 9.893 0.000
0.000 0.000 6.825
Sr La Bi
8 4 4
Direct
0.195 0.250 0.125 Sr
0.250 0.695 0.375 Sr
0.250 0.805 0.875 Sr
0.305 0.250 0.625 Sr
0.695 0.750 0.625 Sr
0.750 0.195 0.875 Sr
0.750 0.305 0.375 Sr
0.805 0.750 0.125 Sr
0.000 0.000 0.500 La
0.000 0.500 0.750 La
0.500 0.000 0.250 La
0.500 0.500 0.000 La
0.000 0.000 0.000 Bi
0.000 0.500 0.250 Bi
0.500 0.000 0.750 Bi
0.500 0.500 0.500 Bi

TeW4, PBEsol geometry, DFT SCAN; D(E_F) = 5.645 states/eV/cell; formation energy without anion corrections = 0.92 eV per atom
1.0
4.074 0.000 0.000
0.000 4.074 0.000
0.000 0.000 11.886
Te W
2 8
Direct
0.000 0.000 0.000 Te
0.500 0.500 0.500 Te
0.000 0.000 0.382 W
0.000 0.000 0.618 W
0.000 0.500 0.250 W
0.000 0.500 0.750 W
0.500 0.000 0.250 W
0.500 0.000 0.750 W
0.500 0.500 0.118 W
0.500 0.500 0.882 W

KNaI2N, PBEsol geometry, DFT SCAN; formation energy without anion corrections = -0.23 eV per atom
1.0
6.015 0.000 0.000
0.000 6.015 0.000
0.000 0.000 4.768
K Na I N
1 1 2 1
Direct
0.000 0.000 0.000 K
0.500 0.500 0.500 Na
0.000 0.500 0.500 I
0.500 0.000 0.500 I
0.500 0.500 0.000 N

LiTa4Os, PBEsol geometry, DFT SCAN; D(E_F) = 5.818 states/eV/cell; DFT formation energy = 3.16 eV/f.u.
1.0
0.000 3.744 3.744
3.744 0.000 3.744
3.744 3.744 0.000
Li Ta Os
1 4 1
Direct
0.000 0.000 0.000 Li
0.376 0.376 0.376 Ta
0.376 0.376 0.873 Ta
0.376 0.873 0.376 Ta
0.873 0.376 0.376 Ta
0.750 0.750 0.750 Os

TbYIr2, PBEsol geometry, DFT SCAN; D(E_F) = 6.451 states/eV/cell; DFT formation energy = -3.85 eV/f.u.
1.0
6.773 0.000 0.000
0.000 6.773 0.000
0.000 0.000 6.773
Tb Y Ir
4 4 8
Direct
0.000 0.000 0.000 Tb
0.000 0.500 0.500 Tb
0.500 0.000 0.500 Tb
0.500 0.500 0.000 Tb
0.000 0.000 0.500 Y
0.000 0.500 0.000 Y
0.500 0.000 0.000 Y
0.500 0.500 0.500 Y
0.250 0.250 0.250 Ir
0.250 0.250 0.750 Ir
0.250 0.750 0.250 Ir
0.250 0.750 0.750 Ir
0.750 0.250 0.250 Ir
0.750 0.250 0.750 Ir
0.750 0.750 0.250 Ir
0.750 0.750 0.750 Ir

Zr2TaRe, PBEsol geometry, DFT SCAN; D(E_F) = 7.731 states/eV/cell; DFT formation energy = -0.78 eV/f.u.
1.0
3.266 0.000 0.000
0.000 4.789 0.000
0.000 0.000 9.540
Zr Ta Re
4 2 2
Direct
0.000 0.000 0.000 Zr
0.000 0.500 0.230 Zr
0.500 0.000 0.730 Zr
0.500 0.500 0.500 Zr
0.000 0.500 0.773 Ta
0.500 0.000 0.273 Ta
0.000 0.000 0.490 Re
0.500 0.500 0.990 Re

Ce3S4, PBEsol geometry, DFT SCAN; D(E_F) = 21.313 states/eV/cell; formation energy without anion corrections = -2.27 eV per atom
1.0
-4.183 4.183 4.183
4.183 -4.183 4.183
4.183 4.183 -4.183
Ce S
6 8
Direct
0.125 0.750 0.875 Ce
0.250 0.625 0.375 Ce
0.375 0.250 0.625 Ce
0.625 0.375 0.250 Ce
0.750 0.875 0.125 Ce
0.875 0.125 0.750 Ce
0.000 0.346 0.500 S
0.000 0.846 0.500 S
0.154 0.154 0.154 S
0.346 0.500 0.000 S
0.500 0.000 0.346 S
0.500 0.000 0.846 S
0.654 0.654 0.654 S
0.846 0.500 0.000 S

ScTe2IN, PBEsol geometry, DFT SCAN; D(E_F) = 4.203 states/eV/cell; formation energy without anion corrections = 0.52 eV per atom
1.0
5.474 0.000 0.000
0.000 5.474 0.000
0.000 0.000 5.676
Sc Te I N
1 2 1 1
Direct
0.000 0.000 0.000 Sc
0.000 0.500 0.000 Te
0.500 0.000 0.000 Te
0.000 0.000 0.500 I
0.500 0.500 0.500 N

CuPd3Cl, PBEsol geometry, DFT SCAN; D(E_F) = 3.279 states/eV/cell; formation energy without anion corrections = 0.79 eV per atom
1.0
4.552 0.000 0.000
0.000 4.552 0.000
0.000 0.000 4.552
Cu Pd Cl
1 3 1
Direct
0.000 0.000 0.000 Cu
0.000 0.000 0.500 Pd
0.000 0.500 0.000 Pd
0.500 0.000 0.000 Pd
0.500 0.500 0.500 Cl

MnP2Br, PBEsol geometry, DFT SCAN; D(E_F) = 3.534 states/eV/cell; formation energy without anion corrections = 0.24 eV per atom
1.0
3.476 0.000 0.000
0.000 3.476 0.000
0.000 0.000 12.342
Mn P Br
2 4 2
Direct
0.000 0.000 0.000 Mn
0.500 0.500 0.500 Mn
0.000 0.500 0.250 P
0.000 0.500 0.750 P
0.500 0.000 0.250 P
0.500 0.000 0.750 P
0.000 0.000 0.500 Br
0.500 0.500 0.000 Br

KNa2GaO3, PBEsol geometry, DFT SCAN; D(E_F) = 0.000 states/eV/cell; formation energy without anion corrections = -1.83 eV per atom
1.0
6.469 0.000 0.000
0.000 6.157 0.000
0.000 0.000 10.203
K Na Ga O
4 8 4 12
Direct
0.160 0.250 0.032 K
0.340 0.750 0.532 K
0.660 0.250 0.468 K
0.840 0.750 0.968 K
0.010 0.009 0.731 Na
0.010 0.491 0.731 Na
0.490 0.509 0.231 Na
0.490 0.991 0.231 Na
0.510 0.009 0.769 Na
0.510 0.491 0.769 Na
0.990 0.509 0.269 Na
0.990 0.991 0.269 Na
0.170 0.250 0.490 Ga
0.330 0.750 0.990 Ga
0.670 0.250 0.010 Ga
0.830 0.750 0.510 Ga
0.000 0.000 0.500 O
0.000 0.500 0.500 O
0.171 0.750 0.139 O
0.218 0.750 0.826 O
0.282 0.250 0.326 O
0.329 0.250 0.639 O
0.500 0.000 0.000 O
0.500 0.500 0.000 O
0.671 0.750 0.361 O
0.718 0.750 0.674 O
0.782 0.250 0.174 O
0.829 0.250 0.861 O

CsNa2H3S3O12, PBEsol geometry, DFT SCAN; D(E_F) = 0.000 states/eV/cell; total energy = -196.25 eV per formula unit
1.0
10.532 0.000 0.000
0.000 10.532 0.000
0.000 0.000 10.532
Cs Na H S O
4 8 12 12 48
Direct
0.051 0.051 0.051 Cs
0.449 0.949 0.551 Cs
0.551 0.449 0.949 Cs
0.949 0.551 0.449 Cs
0.103 0.897 0.397 Na
0.178 0.678 0.822 Na
0.322 0.322 0.322 Na
0.397 0.103 0.897 Na
0.603 0.603 0.603 Na
0.678 0.822 0.178 Na
0.822 0.178 0.678 Na
0.897 0.397 0.103 Na
0.002 0.855 0.651 H
0.145 0.151 0.498 H
0.151 0.498 0.145 H
0.349 0.502 0.645 H
0.355 0.849 0.998 H
0.498 0.145 0.151 H
0.502 0.645 0.349 H
0.645 0.349 0.502 H
0.651 0.002 0.855 H
0.849 0.998 0.355 H
0.855 0.651 0.002 H
0.998 0.355 0.849 H
0.011 0.711 0.120 S
0.120 0.011 0.711 S
0.211 0.380 0.989 S
0.289 0.620 0.489 S
0.380 0.989 0.211 S
0.489 0.289 0.620 S
0.511 0.789 0.880 S
0.620 0.489 0.289 S
0.711 0.120 0.011 S
0.789 0.880 0.511 S
0.880 0.511 0.789 S
0.989 0.211 0.380 S
0.011 0.797 0.228 O
0.018 0.096 0.747 O
0.029 0.576 0.160 O
0.070 0.870 0.720 O
0.076 0.340 0.971 O
0.096 0.747 0.018 O
0.130 0.220 0.430 O
0.160 0.029 0.576 O
0.203 0.728 0.489 O
0.220 0.430 0.130 O
0.228 0.011 0.797 O
0.247 0.482 0.904 O
0.253 0.518 0.404 O
0.272 0.989 0.297 O
0.280 0.570 0.630 O
0.297 0.272 0.989 O
0.340 0.971 0.076 O
0.370 0.780 0.930 O
0.404 0.253 0.518 O
0.424 0.660 0.471 O
0.430 0.130 0.220 O
0.471 0.424 0.660 O
0.482 0.904 0.247 O
0.489 0.203 0.728 O
0.511 0.703 0.772 O
0.518 0.404 0.253 O
0.529 0.924 0.840 O
0.570 0.630 0.280 O
0.576 0.160 0.029 O
0.596 0.753 0.982 O
0.630 0.280 0.570 O
0.660 0.471 0.424 O
0.703 0.772 0.511 O
0.720 0.070 0.870 O
0.728 0.489 0.203 O
0.747 0.018 0.096 O
0.753 0.982 0.596 O
0.772 0.511 0.703 O
0.780 0.930 0.370 O
0.797 0.228 0.011 O
0.840 0.529 0.924 O
0.870 0.720 0.070 O
0.904 0.247 0.482 O
0.924 0.840 0.529 O
0.930 0.370 0.780 O
0.971 0.076 0.340 O
0.982 0.596 0.753 O
0.989 0.297 0.272 O

CrPdCCl2, PBEsol geometry, DFT SCAN; D(E_F) = 4.077 states/eV/cell; formation energy without anion corrections = 0.53 eV per atom
1.0
4.712 0.000 0.000
0.000 4.712 0.000
0.000 0.000 3.637
Cr Pd C Cl
1 1 1 2
Direct
0.000 0.000 0.000 Cr
0.500 0.500 0.500 Pd
0.000 0.000 0.500 C
0.000 0.500 0.000 Cl
0.500 0.000 0.000 Cl

TaTlRu2Pt, PBEsol geometry, DFT SCAN; D(E_F) = 3.025 states/eV/cell; DFT formation energy = 8.26 eV/f.u.
1.0
4.575 0.000 0.000
0.000 4.575 0.000
0.000 0.000 5.225
Ta Tl Ru Pt
1 1 2 1
Direct
0.000 0.000 0.000 Ta
0.000 0.000 0.500 Tl
0.000 0.500 0.000 Ru
0.500 0.000 0.000 Ru
0.500 0.500 0.500 Pt

La2ScMnGe, PBEsol geometry, DFT SCAN; D(E_F) = 3.285 states/eV/cell; DFT formation energy = -0.24 eV/f.u.
1.0
4.942 0.000 0.000
0.000 4.942 0.000
0.000 0.000 4.900
La Sc Mn Ge
2 1 1 1
Direct
0.000 0.500 0.000 La
0.500 0.000 0.000 La
0.000 0.000 0.500 Sc
0.000 0.000 0.000 Mn
0.500 0.500 0.500 Ge

SiTc2Pb, PBEsol geometry, DFT SCAN; D(E_F) = 2.852 states/eV/cell; formation energy without anion corrections = 0.30 eV per atom
1.0
3.194 0.000 0.000
0.000 3.194 0.000
0.000 0.000 6.367
Si Tc Pb
1 2 1
Direct
0.000 0.000 0.000 Si
0.000 0.000 0.410 Tc
0.500 0.500 0.144 Tc
0.500 0.500 0.674 Pb

Rb2CuBrCl3, PBEsol geometry, DFT SCAN; formation energy without anion corrections = -1.51 eV per atom
1.0
7.043 0.000 0.000
0.000 3.520 7.952
0.000 -3.520 7.952
Rb Cu Br Cl
4 2 2 6
Direct
0.000 0.000 0.000 Rb
0.000 0.273 0.273 Rb
0.500 0.500 0.500 Rb
0.500 0.773 0.773 Rb
0.000 0.631 0.631 Cu
0.500 0.131 0.131 Cu
0.000 0.788 0.788 Br
0.500 0.288 0.288 Br
0.000 0.484 0.484 Cl
0.228 0.862 0.406 Cl
0.272 0.362 0.906 Cl
0.500 0.984 0.984 Cl
0.728 0.906 0.362 Cl
0.772 0.406 0.862 Cl

Fe2PbCl, PBEsol geometry, DFT SCAN; D(E_F) = 5.962 states/eV/cell; formation energy without anion corrections = 0.58 eV per atom
1.0
3.779 0.000 0.000
0.000 3.779 0.000
0.000 0.000 9.672
Fe Pb Cl
4 2 2
Direct
0.000 0.000 0.000 Fe
0.000 0.500 0.250 Fe
0.500 0.000 0.750 Fe
0.500 0.500 0.500 Fe
0.000 0.000 0.500 Pb
0.500 0.500 0.000 Pb
0.000 0.500 0.750 Cl
0.500 0.000 0.250 Cl

Ca2TaSe, PBEsol geometry, DFT SCAN; D(E_F) = 2.743 states/eV/cell; formation energy without anion corrections = -0.23 eV per atom
1.0
3.392 0.000 0.000
0.000 3.392 0.000
0.000 0.000 8.113
Ca Ta Se
2 1 1
Direct
0.000 0.000 0.214 Ca
0.000 0.000 0.786 Ca
0.500 0.500 0.500 Ta
0.500 0.500 0.000 Se

Rb2BaSrCl, PBEsol geometry, DFT SCAN; D(E_F) = 4.291 states/eV/cell; formation energy without anion corrections = -0.70 eV per atom
1.0
6.634 0.000 0.000
0.000 6.634 0.000
0.000 0.000 6.282
Rb Ba Sr Cl
2 1 1 1
Direct
0.000 0.500 0.000 Rb
0.500 0.000 0.000 Rb
0.000 0.000 0.500 Ba
0.500 0.500 0.500 Sr
0.000 0.000 0.000 Cl